# 1
This record from the Alexandria database describes a relaxed structure of ThCo3B2. The functional is PBE.

Crystal system: trigonal
V, Å³ per cell: 169.8
E_form, eV/atom: -0.050

Unit cell a=5.282 b=6.092 c=6.092 alpha=120.00 beta=90.00 gamma=90.00
Fractional positions:
Th (0.384, 0.667, 0.333)
Th (0.616, 0.333, 0.667)
Co (0.838, 0.349, 0.174)
Co (0.838, 0.826, 0.651)
Co (0.838, 0.826, 0.174)
Co (0.162, 0.174, 0.826)
Co (0.162, 0.651, 0.826)
Co (0.162, 0.174, 0.349)
B (0.000, 0.000, 0.000)
B (0.000, 0.500, 0.500)
B (0.000, 0.500, 0.000)
B (0.000, 0.000, 0.500)

# 2
This record from the Alexandria database describes a relaxed structure of BaBeWS2. The functional is PBE.

Crystal system: tetragonal
V, Å³ per cell: 105.0
E_form (uncorrected), eV per atom: 0.38

Unit cell a=4.865 b=4.437 c=4.865 alpha=90.00 beta=90.00 gamma=90.00
Fractional positions:
Be (0.000, 0.000, 0.000)
S (0.000, 0.000, 0.500)
S (0.500, 0.000, 0.000)
Ba (0.500, 0.500, 0.500)
W (0.000, 0.500, 0.000)

# 3
This record from the Alexandria database describes a relaxed structure of Pm2Ho8In3. The functional is PBE.

Crystal system: trigonal
V, Å³ per cell: 413.1
E_form, eV/atom: 0.106

Unit cell a=6.398 b=6.398 c=12.223 alpha=74.83 beta=74.83 gamma=60.00
Fractional positions:
Pm (0.637, 0.637, 0.088)
Pm (0.363, 0.363, 0.912)
Ho (0.727, 0.727, 0.820)
Ho (0.273, 0.273, 0.180)
Ho (0.220, 0.719, 0.342)
Ho (0.719, 0.220, 0.342)
Ho (0.719, 0.719, 0.342)
Ho (0.281, 0.780, 0.658)
Ho (0.780, 0.281, 0.658)
Ho (0.281, 0.281, 0.658)
In (0.000, 0.000, 0.000)
In (0.812, 0.812, 0.564)
In (0.188, 0.188, 0.436)

Please write out number 2 again, unchanged.
This record from the Alexandria database describes a relaxed structure of BaBeWS2. The functional is PBE.

Crystal system: tetragonal
V, Å³ per cell: 105.0
E_form (uncorrected), eV per atom: 0.38

Unit cell a=4.865 b=4.437 c=4.865 alpha=90.00 beta=90.00 gamma=90.00
Fractional positions:
Be (0.000, 0.000, 0.000)
S (0.000, 0.000, 0.500)
S (0.500, 0.000, 0.000)
Ba (0.500, 0.500, 0.500)
W (0.000, 0.500, 0.000)

Among the records above, which one has the lowest V?
BaBeWS2

Please write out number 3 again, unchanged.
This record from the Alexandria database describes a relaxed structure of Pm2Ho8In3. The functional is PBE.

Crystal system: trigonal
V, Å³ per cell: 413.1
E_form, eV/atom: 0.106

Unit cell a=6.398 b=6.398 c=12.223 alpha=74.83 beta=74.83 gamma=60.00
Fractional positions:
Pm (0.637, 0.637, 0.088)
Pm (0.363, 0.363, 0.912)
Ho (0.727, 0.727, 0.820)
Ho (0.273, 0.273, 0.180)
Ho (0.220, 0.719, 0.342)
Ho (0.719, 0.220, 0.342)
Ho (0.719, 0.719, 0.342)
Ho (0.281, 0.780, 0.658)
Ho (0.780, 0.281, 0.658)
Ho (0.281, 0.281, 0.658)
In (0.000, 0.000, 0.000)
In (0.812, 0.812, 0.564)
In (0.188, 0.188, 0.436)

Which formula does entry 2 have?
BaBeWS2